A plane-wave DFT calculation with PBE+U was carried out for an optimized crystal structure of Pa2MnHgO8.

Computed properties:
M_tot = 6.954 μB/f.u.
E = -87.5 eV/cell
SG = P-3, No. 147
crystal system = trigonal

Cell: 6.1796 6.1796 5.4734 Å, 90.00 90.00 120.00°
Sites, in units of the cell vectors:
Pa 0.3333 0.6667 0.4162
Pa 0.6667 0.3333 0.5838
Mn 0.0000 0.0000 0.0000
Hg 0.0000 0.0000 0.5000
O 0.0496 0.3512 0.6800
O 0.3016 0.9504 0.6800
O 0.3333 0.6667 0.0692
O 0.3512 0.3016 0.3200
O 0.6488 0.6984 0.6800
O 0.6667 0.3333 0.9308
O 0.6984 0.0496 0.3200
O 0.9504 0.6488 0.3200